Sm8Te3PPt3 | PBE | relaxed

Structure (POSCAR):
```
Sm8Te3PPt3
1.0
7.3063 -4.2218 0.0000
7.3063 4.2218 0.0000
-4.8614 0.0000 7.3013
Sm Te P Pt
8 3 1 3
direct
0.2372 0.2372 0.7133 Sm
0.2374 0.7387 0.7135 Sm
0.2613 0.7626 0.2865 Sm
0.2623 0.2623 0.2870 Sm
0.7377 0.7377 0.7130 Sm
0.7387 0.2374 0.7135 Sm
0.7626 0.2613 0.2865 Sm
0.7628 0.7628 0.2867 Sm
0.0000 0.0000 0.0000 Te
0.0000 0.5000 0.0000 Te
0.5000 0.0000 0.0000 Te
0.0000 0.0000 0.5000 P
0.0000 0.5000 0.5000 Pt
0.5000 0.0000 0.5000 Pt
0.5000 0.5000 0.5000 Pt
```

Summary:
As for the symmetry: C2/m, No. 12. The calculation puts the final energy at -88.3 eV/cell. The value obtained for the uncorrected formation energy is -1700 kJ/mol of formula units. The crystal system is monoclinic.

---

Sm6Te3P2Pt | PBE | relaxed

Structure (POSCAR):
```
Sm6Te3P2Pt
1.0
9.4536 -2.1031 0.0000
9.4536 2.1031 0.0000
-2.2341 0.0000 8.4599
Sm Te P Pt
6 3 2 1
direct
0.0089 0.0089 0.2307 Sm
0.3254 0.3254 0.4367 Sm
0.3370 0.3370 0.8925 Sm
0.6630 0.6630 0.1075 Sm
0.6746 0.6746 0.5633 Sm
0.9911 0.9911 0.7693 Sm
0.1665 0.1665 0.8318 Te
0.5000 0.5000 0.5000 Te
0.8335 0.8335 0.1682 Te
0.1679 0.1679 0.3362 P
0.8321 0.8321 0.6638 P
0.5000 0.5000 0.0000 Pt
```

Summary:
As for the symmetry: C2/m, No. 12. The calculation puts the final energy at -72.1 eV/cell. The value obtained for the uncorrected formation energy is -1684 kJ/mol of formula units. The crystal system is monoclinic.

---

SmTl2P2Pt7 | PBE | relaxed

Structure (POSCAR):
```
SmTl2P2Pt7
1.0
2.8384 -2.8390 0.0000
2.8384 2.8390 0.0000
-2.4185 0.0000 14.9986
Sm Tl P Pt
1 2 2 7
direct
0.0000 0.0000 0.0000 Sm
0.1895 0.1895 0.4189 Tl
0.8105 0.8105 0.5811 Tl
0.4000 0.4000 0.7649 P
0.6000 0.6000 0.2351 P
0.0642 0.5646 0.1501 Pt
0.3279 0.3279 0.6154 Pt
0.4354 0.9358 0.8499 Pt
0.5000 0.5000 0.0000 Pt
0.5646 0.0642 0.1501 Pt
0.6721 0.6721 0.3846 Pt
0.9358 0.4354 0.8499 Pt
```

Summary:
As for the symmetry: C2/m, No. 12. Its formation energy is -525 meV per atom. The calculation puts the final energy at -68.9 eV/cell. The crystal system is monoclinic.

---

Sm2ZnPPt6 | PBE | relaxed

Structure (POSCAR):
```
Sm2ZnPPt6
1.0
5.5711 0.0000 0.0000
0.0000 8.6778 0.0000
0.0000 0.0000 8.1103
Sm Zn P Pt
4 2 2 12
direct
0.2500 0.0176 0.2283 Sm
0.2500 0.4824 0.2283 Sm
0.7500 0.5176 0.7717 Sm
0.7500 0.9824 0.7717 Sm
0.2500 0.7500 0.7843 Zn
0.7500 0.2500 0.2157 Zn
0.2500 0.2500 0.7328 P
0.7500 0.7500 0.2672 P
0.0025 0.7500 0.5135 Pt
0.0038 0.7500 0.0421 Pt
0.2500 0.0028 0.6147 Pt
0.2500 0.4972 0.6147 Pt
0.4962 0.7500 0.0421 Pt
0.4975 0.7500 0.5135 Pt
0.5025 0.2500 0.4865 Pt
0.5038 0.2500 0.9579 Pt
0.7500 0.5028 0.3853 Pt
0.7500 0.9972 0.3853 Pt
0.9962 0.2500 0.9579 Pt
0.9975 0.2500 0.4865 Pt
```

Summary:
As for the symmetry: Pmmn, No. 59. Its formation energy is -872 meV per atom. The calculation puts the final energy at -122.2 eV/cell. The crystal system is orthorhombic.

---

Sm2ZnP3Pt12 | PBE | relaxed

Structure (POSCAR):
```
Sm2ZnP3Pt12
1.0
4.1165 2.3767 5.9450
-4.1165 2.3767 5.9450
0.0000 -4.7533 5.9450
Sm Zn P Pt
2 1 3 12
direct
0.1104 0.1104 0.1104 Sm
0.8896 0.8896 0.8896 Sm
0.5000 0.5000 0.5000 Zn
0.0000 0.5000 0.5000 P
0.5000 0.0000 0.5000 P
0.5000 0.5000 0.0000 P
0.1266 0.6282 0.6282 Pt
0.1544 0.1544 0.6029 Pt
0.1544 0.6029 0.1544 Pt
0.3718 0.3718 0.8734 Pt
0.3718 0.8734 0.3718 Pt
0.3971 0.8456 0.8456 Pt
0.6029 0.1544 0.1544 Pt
0.6282 0.1266 0.6282 Pt
0.6282 0.6282 0.1266 Pt
0.8456 0.3971 0.8456 Pt
0.8456 0.8456 0.3971 Pt
0.8734 0.3718 0.3718 Pt
```

Summary:
As for the symmetry: R-3m, No. 166. Its formation energy is -458 meV per atom. The calculation puts the final energy at -107.7 eV/cell. The crystal system is trigonal.

---

Sm2ZnP3Pt4 | PBE | relaxed

Structure (POSCAR):
```
Sm2ZnP3Pt4
1.0
4.2089 0.0000 0.0000
0.0000 4.2089 0.0000
0.0000 0.0000 10.0232
Sm Zn P Pt
2 1 3 4
direct
0.0000 0.5000 0.2440 Sm
0.5000 0.0000 0.7560 Sm
0.0000 0.0000 0.5000 Zn
0.0000 0.5000 0.8658 P
0.5000 0.0000 0.1342 P
0.5000 0.5000 0.5000 P
0.0000 0.0000 0.0000 Pt
0.0000 0.5000 0.6339 Pt
0.5000 0.0000 0.3661 Pt
0.5000 0.5000 0.0000 Pt
```

Summary:
As for the symmetry: P-4m2, No. 115. Its formation energy is -939 meV per atom. The calculation puts the final energy at -60.5 eV/cell. The crystal system is tetragonal.

---

Sm3ZnP2Pt9 | PBE | relaxed

Structure (POSCAR):
```
Sm3ZnP2Pt9
1.0
5.7140 0.0000 0.0000
-2.8570 4.9485 0.0000
0.0000 0.0000 10.6099
Sm Zn P Pt
3 1 2 9
direct
0.0000 0.0000 0.0000 Sm
0.3333 0.6667 0.5852 Sm
0.6667 0.3333 0.4148 Sm
0.0000 0.0000 0.5000 Zn
0.3333 0.6667 0.1607 P
0.6667 0.3333 0.8393 P
0.0000 0.5000 0.0000 Pt
0.1636 0.3273 0.3131 Pt
0.1636 0.8364 0.3131 Pt
0.3273 0.1636 0.6869 Pt
0.5000 0.0000 0.0000 Pt
0.5000 0.5000 0.0000 Pt
0.6727 0.8364 0.3131 Pt
0.8364 0.1636 0.6869 Pt
0.8364 0.6727 0.6869 Pt
```

Summary:
As for the symmetry: P-3m1, No. 164. Its formation energy is -790 meV per atom. The calculation puts the final energy at -92.5 eV/cell. The crystal system is trigonal.

---

SnPPt5 | PBE | relaxed

Structure (POSCAR):
```
SnPPt5
1.0
3.9912 0.0000 0.0000
0.0000 3.9912 0.0000
0.0000 0.0000 7.1533
Sn P Pt
1 1 5
direct
0.0000 0.0000 0.0000 Sn
0.5000 0.5000 0.5000 P
0.0000 0.5000 0.2998 Pt
0.0000 0.5000 0.7002 Pt
0.5000 0.0000 0.2998 Pt
0.5000 0.0000 0.7002 Pt
0.5000 0.5000 0.0000 Pt
```

Summary:
As for the symmetry: P4/mmm, No. 123. Its formation energy is -399 meV per atom. The calculation puts the final energy at -42.4 eV/cell. The crystal system is tetragonal.